[1]
DFT (PBE) results for crystalline Dy2ErSi at its relaxed geometry.

It has space group R-3m (No. 166, hexagonal axes), with a = 3.5541 Å, b = 3.5541 Å, c = 32.2247 Å, α = 90.00°, β = 90.00° and γ = 120.00°. Symmetry generates all atoms from Dy at (0.0000, 0.0000, 0.1059), Er at (0.0000, 0.0000, 0.0000) and Si at (0.0000, 0.0000, 0.5000).

Its energy is -19.05 eV/f.u. Its uncorrected formation energy is 0.0357 eV/atom. The calculation puts the size of the total moment at 2.281 μB/cell.

=====

[2]
DFT (PBE) results for crystalline Dy3Er2Si4 at its relaxed geometry.

It has space group P2_1/c (No. 14), with a = 7.6026 Å, b = 7.6640 Å, c = 7.4025 Å, α = 90.00°, β = 106.15° and γ = 90.00°. Symmetry generates all atoms from Dy at (0.0000, 0.0000, 0.0000), Dy at (0.2582, 0.1818, 0.7461), Er at (0.2988, 0.6832, 0.9093), Si at (0.0116, 0.6210, 0.1224) and Si at (0.4183, 0.0268, 0.1214).

Its energy is -51.18 eV/f.u. Its uncorrected formation energy is -0.7290 eV/atom. The calculation puts the size of the total moment at 0.000 μB/cell.

=====

[3]
DFT (PBE) results for crystalline Dy4Er3Si4 at its relaxed geometry.

It has space group Immm (No. 71), with a = 3.7341 Å, b = 8.6063 Å, c = 16.6917 Å, α = 90.00°, β = 90.00° and γ = 90.00°. Symmetry generates all atoms from Dy at (0.0000, 0.1815, 0.1706), Er at (0.0000, 0.0000, 0.4035), Er at (0.0000, 0.5000, 0.5000), Si at (0.0000, 0.2781, 0.0000) and Si at (0.0000, 0.5000, 0.2280).

Its energy is -59.28 eV/f.u. Its uncorrected formation energy is -0.4988 eV/atom. The calculation puts the size of the total moment at 0.597 μB/cell.

=====

Q: Look up the size of the total moment of the second one.
A: 0.000 μB/cell

=====

Q: What is the formula in the first record?
A: Dy2ErSi

=====

Q: Which value of size of the total moment does entry 3 give?
A: 0.597 μB/cell

=====

Q: What is the formula in the second record?
A: Dy3Er2Si4